Entry 1:
Density functional theory data (GGA-PBE) for Sm4AlCd after structural relaxation. Values from VASP.

```
&SYSTEM
  ibrav = 0, nat = 6, ntyp = 3
/
ATOMIC_SPECIES
Sm 150.36 Sm.upf
Al 26.98 Al.upf
Cd 112.41 Cd.upf
CELL_PARAMETERS angstrom
6.7531 -1.8237 0.0000
6.7531 1.8237 0.0000
-2.0075 0.0000 7.0874
ATOMIC_POSITIONS crystal
Sm 0.1515 0.1515 0.3191
Sm 0.1508 0.1508 0.8319
Sm 0.8492 0.8492 0.1681
Sm 0.8485 0.8485 0.6809
Al 0.5000 0.5000 0.0000
Cd 0.5000 0.5000 0.5000
```

Values from the calculation:
Its space group is C2/m. The value obtained for the formation energy is -18.6 kJ/mol of atoms. The calculated density is 7.05 g cm⁻³. The relative energy among the computed polymorphs is 0.00 eV/f.u.

Entry 2:
Density functional theory data (GGA-PBE) for Rb2PtI6F after structural relaxation. Values from VASP.

```
&SYSTEM
  ibrav = 0, nat = 10, ntyp = 4
/
ATOMIC_SPECIES
Rb 85.47 Rb.upf
Pt 195.08 Pt.upf
I 126.90 I.upf
F 19.00 F.upf
CELL_PARAMETERS angstrom
-4.2190 4.2190 5.2150
4.2190 -4.2190 5.2150
4.2190 4.2190 -5.2150
ATOMIC_POSITIONS crystal
Rb 0.2500 0.7500 0.5000
Rb 0.7500 0.2500 0.5000
Pt 0.0000 0.0000 0.0000
I 0.2251 0.2251 0.4501
I 0.2251 0.7749 0.0000
I 0.2682 0.2682 0.0000
I 0.7318 0.7318 0.0000
I 0.7749 0.2251 0.0000
I 0.7749 0.7749 0.5499
F 0.5000 0.5000 0.0000
```

Values from the calculation:
Its space group is I4/mmm. The calculated density is 5.13 g cm⁻³. The calculation puts the energy at -2.732 eV per atom.